Record 1
First-principles (PBE) data for an optimized crystal structure of Ba2CaBiO, as listed in Alexandria.

The value obtained for the total magnetization is 0.00 μB/f.u. As for the raw total energy: -22.01 eV/cell. The density of states at the Fermi level is 0.473 states/eV/atom. Its theoretical density is 5.8 g/cm³. For the raw formation energy, the calculation gives -1465 meV per atom.

The space group is P4/mmm (No. 123) and the conventional cell measures 5.687, 5.687 and 4.787 Å, with angles of 90.00, 90.00 and 90.00 degrees. The asymmetric unit holds Ba at (0.000, 0.500, 0.000), Ca at (0.000, 0.000, 0.500), Bi at (0.500, 0.500, 0.500) and O at (0.000, 0.000, 0.000).

Record 2
First-principles (PBE) data for an optimized crystal structure of BaCa2BiO5, as listed in Alexandria.

The value obtained for the total magnetization is 0.00 μB/f.u. As for the raw total energy: -108.20 eV/cell. The density of states at the Fermi level is 0.135 states/eV/atom. Its theoretical density is 5.5 g/cm³. For the raw formation energy, the calculation gives -2167 meV per atom.

The space group is Immm (No. 71) and the conventional cell measures 4.253, 6.112 and 11.702 Å, with angles of 90.00, 90.00 and 90.00 degrees. The asymmetric unit holds Ba at (0.000, 0.000, 0.000), Ca at (0.000, 0.500, 0.219), Bi at (0.000, 0.000, 0.500), O at (0.000, 0.248, 0.358) and O at (0.000, 0.500, 0.000).

Record 3
First-principles (PBE) data for an optimized crystal structure of Ba2CaBi2O6, as listed in Alexandria.

The value obtained for the total magnetization is 0.00 μB/f.u. As for the raw total energy: -129.13 eV/cell. The density of states at the Fermi level is 0.000 states/eV/atom. Its theoretical density is 6.3 g/cm³. For the raw formation energy, the calculation gives -1928 meV per atom.

The space group is C2/m (No. 12) and the conventional cell measures 9.933, 6.543 and 7.399 Å, with angles of 90.00, 114.40 and 90.00 degrees. The asymmetric unit holds Ba at (0.205, 0.000, 0.125), Ca at (0.000, 0.000, 0.500), Bi at (0.092, 0.500, 0.248), O at (0.059, 0.254, 0.779) and O at (0.233, 0.000, 0.476).

Record 4
First-principles (PBE) data for an optimized crystal structure of Ba3CaBi2O8, as listed in Alexandria.

The value obtained for the total magnetization is 1.95 μB/f.u. As for the raw total energy: -81.76 eV/cell. The density of states at the Fermi level is 0.200 states/eV/atom. Its theoretical density is 6.0 g/cm³. For the raw formation energy, the calculation gives -1897 meV per atom.

The space group is P-3m1 (No. 164) and the conventional cell measures 6.2879, 6.2879 and 8.0820 Å, with angles of 90.00, 90.00 and 120.00 degrees. The asymmetric unit holds Ba at (0.0000, 0.0000, 0.0000), Ba at (0.3333, 0.6667, 0.6270), Ca at (0.0000, 0.0000, 0.5000), Bi at (0.3333, 0.6667, 0.1923), O at (0.1647, 0.3294, 0.3212) and O at (0.3333, 0.6667, 0.9270).

Record 5
First-principles (PBE) data for an optimized crystal structure of Ba2CaBiPd, as listed in Alexandria.

The formation energy is -0.5394 eV per atom. The value obtained for the total magnetization is 0.00 μB/f.u. As for the raw total energy: -17.62 eV/cell. The density of states at the Fermi level is 0.499 states/eV/atom. Its theoretical density is 5.1 g/cm³.

The space group is P4/mmm (No. 123) and the conventional cell measures 6.037, 6.037 and 5.585 Å, with angles of 90.00, 90.00 and 90.00 degrees. The asymmetric unit holds Ba at (0.000, 0.500, 0.000), Ca at (0.000, 0.000, 0.500), Bi at (0.500, 0.500, 0.500) and Pd at (0.000, 0.000, 0.000).

Record 6
First-principles (PBE) data for an optimized crystal structure of Ba2CaBi3Pd4, as listed in Alexandria.

The formation energy is -0.6857 eV per atom. The value obtained for the total magnetization is 0.00 μB/f.u. As for the raw total energy: -45.12 eV/cell. The density of states at the Fermi level is 0.465 states/eV/atom. Its theoretical density is 8.3 g/cm³.

The space group is P-4m2 (No. 115) and the conventional cell measures 4.893, 4.893 and 11.426 Å, with angles of 90.00, 90.00 and 90.00 degrees. The asymmetric unit holds Ba at (0.000, 0.500, 0.229), Ca at (0.000, 0.000, 0.500), Bi at (0.000, 0.500, 0.879), Bi at (0.500, 0.500, 0.500), Pd at (0.000, 0.000, 0.000), Pd at (0.000, 0.500, 0.636) and Pd at (0.500, 0.500, 0.000).

Record 7
First-principles (PBE) data for an optimized crystal structure of BaCa2BiPd, as listed in Alexandria.

The formation energy is -0.5310 eV per atom. The value obtained for the total magnetization is 0.00 μB/f.u. As for the raw total energy: -17.65 eV/cell. The density of states at the Fermi level is 0.604 states/eV/atom. Its theoretical density is 4.8 g/cm³.

The space group is P4/mmm (No. 123) and the conventional cell measures 5.556, 5.556 and 5.984 Å, with angles of 90.00, 90.00 and 90.00 degrees. The asymmetric unit holds Ba at (0.000, 0.000, 0.000), Ca at (0.000, 0.500, 0.500), Bi at (0.500, 0.500, 0.000) and Pd at (0.000, 0.000, 0.500).

Record 8
First-principles (PBE) data for an optimized crystal structure of Ba2CaBi4Pd3, as listed in Alexandria.

The formation energy is -0.6754 eV per atom. The value obtained for the total magnetization is 0.00 μB/f.u. As for the raw total energy: -43.70 eV/cell. The density of states at the Fermi level is 0.461 states/eV/atom. Its theoretical density is 8.3 g/cm³.

The space group is P-4m2 (No. 115) and the conventional cell measures 4.875, 4.875 and 12.342 Å, with angles of 90.00, 90.00 and 90.00 degrees. The asymmetric unit holds Ba at (0.000, 0.500, 0.237), Ca at (0.000, 0.000, 0.500), Bi at (0.000, 0.000, 0.000), Bi at (0.000, 0.500, 0.653), Bi at (0.500, 0.500, 0.000), Pd at (0.000, 0.500, 0.880) and Pd at (0.500, 0.500, 0.500).

Record 9
First-principles (PBE) data for an optimized crystal structure of Ba2CaBi3Pt4, as listed in Alexandria.

The formation energy is -0.6891 eV per atom. The value obtained for the total magnetization is 0.00 μB/f.u. As for the raw total energy: -48.54 eV/cell. The density of states at the Fermi level is 0.390 states/eV/atom. Its theoretical density is 10.5 g/cm³.

The space group is P-4m2 (No. 115) and the conventional cell measures 4.915, 4.915 and 11.325 Å, with angles of 90.00, 90.00 and 90.00 degrees. The asymmetric unit holds Ba at (0.000, 0.500, 0.231), Ca at (0.000, 0.000, 0.500), Bi at (0.000, 0.500, 0.880), Bi at (0.500, 0.500, 0.500), Pt at (0.000, 0.000, 0.000), Pt at (0.000, 0.500, 0.635) and Pt at (0.500, 0.500, 0.000).

Record 10
First-principles (PBE) data for an optimized crystal structure of BaCaRe2Bi, as listed in Alexandria.

The formation energy is 2.1867 eV per atom. The value obtained for the total magnetization is 2.32 μB/f.u. As for the raw total energy: -21.77 eV/cell. The density of states at the Fermi level is 1.466 states/eV/atom. Its theoretical density is 9.0 g/cm³.

The space group is P4/mmm (No. 123) and the conventional cell measures 4.994, 4.994 and 5.615 Å, with angles of 90.00, 90.00 and 90.00 degrees. The asymmetric unit holds Ba at (0.000, 0.000, 0.000), Ca at (0.000, 0.000, 0.500), Re at (0.000, 0.500, 0.500) and Bi at (0.500, 0.500, 0.000).

Record 11
First-principles (PBE) data for an optimized crystal structure of Ba2Ca2Bi2S, as listed in Alexandria.

The value obtained for the total magnetization is 0.00 μB/f.u. As for the raw total energy: -57.69 eV/cell. The density of states at the Fermi level is 0.001 states/eV/atom. Its theoretical density is 5.1 g/cm³. For the raw formation energy, the calculation gives -1301 meV per atom.

The space group is I4/mmm (No. 139) and the conventional cell measures 5.313, 5.313 and 18.408 Å, with angles of 90.00, 90.00 and 90.00 degrees. The asymmetric unit holds Ba at (0.000, 0.000, 0.173), Ca at (0.000, 0.500, 0.000), Bi at (0.000, 0.000, 0.373) and S at (0.000, 0.000, 0.000).

Record 12
First-principles (PBE) data for an optimized crystal structure of Ba2CaBiS, as listed in Alexandria.

The value obtained for the total magnetization is 0.01 μB/f.u. As for the raw total energy: -19.39 eV/cell. The density of states at the Fermi level is 0.821 states/eV/atom. Its theoretical density is 4.6 g/cm³. For the raw formation energy, the calculation gives -1108 meV per atom.

The space group is P4/mmm (No. 123) and the conventional cell measures 6.099, 6.099 and 5.336 Å, with angles of 90.00, 90.00 and 90.00 degrees. The asymmetric unit holds Ba at (0.000, 0.500, 0.000), Ca at (0.000, 0.000, 0.500), Bi at (0.500, 0.500, 0.500) and S at (0.000, 0.000, 0.000).

Record 13
First-principles (PBE) data for an optimized crystal structure of Ba2Ca2Bi2Se, as listed in Alexandria.

The value obtained for the total magnetization is 0.00 μB/f.u. As for the raw total energy: -55.12 eV/cell. The density of states at the Fermi level is 0.004 states/eV/atom. Its theoretical density is 5.2 g/cm³. For the raw formation energy, the calculation gives -1209 meV per atom.

The space group is I4/mmm (No. 139) and the conventional cell measures 5.436, 5.436 and 18.476 Å, with angles of 90.00, 90.00 and 90.00 degrees. The asymmetric unit holds Ba at (0.000, 0.000, 0.176), Ca at (0.000, 0.500, 0.000), Bi at (0.000, 0.000, 0.373) and Se at (0.000, 0.000, 0.000).

Record 14
First-principles (PBE) data for an optimized crystal structure of Ba2CaTaBi, as listed in Alexandria.

The formation energy is 1.2586 eV per atom. The value obtained for the total magnetization is 3.64 μB/f.u. As for the raw total energy: -15.29 eV/cell. The density of states at the Fermi level is 1.145 states/eV/atom. Its theoretical density is 4.8 g/cm³.

The space group is P4/mmm (No. 123) and the conventional cell measures 6.553, 6.553 and 5.623 Å, with angles of 90.00, 90.00 and 90.00 degrees. The asymmetric unit holds Ba at (0.000, 0.500, 0.000), Ca at (0.000, 0.000, 0.000), Ta at (0.500, 0.500, 0.500) and Bi at (0.000, 0.000, 0.500).

Record 15
First-principles (PBE) data for an optimized crystal structure of BaCaTc2Bi, as listed in Alexandria.

The formation energy is 1.8630 eV per atom. The value obtained for the total magnetization is 1.61 μB/f.u. As for the raw total energy: -19.22 eV/cell. The density of states at the Fermi level is 1.228 states/eV/atom. Its theoretical density is 6.8 g/cm³.

The space group is P4/mmm (No. 123) and the conventional cell measures 5.039, 5.039 and 5.630 Å, with angles of 90.00, 90.00 and 90.00 degrees. The asymmetric unit holds Ba at (0.000, 0.000, 0.000), Ca at (0.000, 0.000, 0.500), Tc at (0.000, 0.500, 0.000) and Bi at (0.500, 0.500, 0.500).

Record 16
First-principles (PBE) data for an optimized crystal structure of BaCd2Bi, as listed in Alexandria.

The formation energy is -0.2667 eV per atom. The value obtained for the total magnetization is 0.00 μB/f.u. As for the raw total energy: -34.80 eV/cell. The density of states at the Fermi level is 0.323 states/eV/atom. Its theoretical density is 6.4 g/cm³.

The space group is I-42d (No. 122) and the conventional cell measures 5.117, 5.117 and 22.735 Å, with angles of 90.00, 90.00 and 90.00 degrees. The asymmetric unit holds Ba at (0.000, 0.000, 0.000), Cd at (0.147, 0.250, 0.625) and Bi at (0.000, 0.000, 0.500).

Record 17
First-principles (PBE) data for an optimized crystal structure of Ba2CdBi2, as listed in Alexandria.

The formation energy is -0.4633 eV per atom. The value obtained for the total magnetization is 0.00 μB/f.u. As for the raw total energy: -29.68 eV/cell. The density of states at the Fermi level is 0.233 states/eV/atom. Its theoretical density is 5.7 g/cm³.

The space group is I4/mmm (No. 139) and the conventional cell measures 7.042, 7.042 and 9.540 Å, with angles of 90.00, 90.00 and 90.00 degrees. The asymmetric unit holds Ba at (0.000, 0.500, 0.250), Cd at (0.000, 0.000, 0.000) and Bi at (0.000, 0.000, 0.307).

Record 18
First-principles (PBE) data for an optimized crystal structure of Ba6Cd5Bi, as listed in Alexandria.

The formation energy is -0.4281 eV per atom. The value obtained for the total magnetization is 0.00 μB/f.u. As for the raw total energy: -50.26 eV/cell. The density of states at the Fermi level is 0.641 states/eV/atom. Its theoretical density is 5.6 g/cm³.

The space group is C2/m (No. 12) and the conventional cell measures 10.462, 18.217 and 6.041 Å, with angles of 90.00, 125.22 and 90.00 degrees. The asymmetric unit holds Ba at (0.247, 0.000, 0.247), Ba at (0.249, 0.166, 0.748), Cd at (0.000, 0.174, 0.000), Cd at (0.000, 0.333, 0.500), Cd at (0.000, 0.500, 0.000) and Bi at (0.000, 0.000, 0.500).

Record 19
First-principles (PBE) data for an optimized crystal structure of BaCdBi3, as listed in Alexandria.

The formation energy is -0.0635 eV per atom. The value obtained for the total magnetization is 0.00 μB/f.u. As for the raw total energy: -14.80 eV/cell. The density of states at the Fermi level is 0.699 states/eV/atom. For the polymorph energy (0 for the lowest one), the calculation gives 288 meV/atom. Its theoretical density is 7.6 g/cm³.

The space group is Pm-3m (No. 221) and the conventional cell measures 5.771, 5.771 and 5.771 Å, with angles of 90.00, 90.00 and 90.00 degrees. The asymmetric unit holds Ba at (0.000, 0.000, 0.000), Cd at (0.500, 0.500, 0.500) and Bi at (0.000, 0.500, 0.500).

Record 20
First-principles (PBE) data for an optimized crystal structure of Ba2CdBi2, as listed in Alexandria.

The formation energy is -0.4508 eV per atom. The value obtained for the total magnetization is 0.00 μB/f.u. As for the raw total energy: -29.55 eV/cell. The density of states at the Fermi level is 0.974 states/eV/atom. Its theoretical density is 6.4 g/cm³.

The space group is P4/mbm (No. 127) and the conventional cell measures 10.331, 10.331 and 3.909 Å, with angles of 90.00, 90.00 and 90.00 degrees. The asymmetric unit holds Ba at (0.138, 0.362, 0.000), Cd at (0.000, 0.000, 0.000) and Bi at (0.162, 0.662, 0.500).